Model a:
Compound: LiNiW2
Source: the Alexandria database
Functional: PBE
Structure: relaxed

```
4
Lattice="3.030 0.000 0.000 0.000 4.243 0.000 0.000 0.000 4.393" Properties=species:S:1:pos:R:3 pbc="T T T"
Li 0.000 0.000 0.000
Ni 1.515 2.121 0.000
W 0.000 2.121 2.196
W 1.515 0.000 2.196
```

M_tot: 0.0 μB/cell

Model b:
Compound: LiNiW2
Source: the Alexandria database
Functional: PBE
Structure: relaxed

```
4
Lattice="2.614 0.000 0.000 0.000 4.209 0.000 -0.622 0.000 4.997" Properties=species:S:1:pos:R:3 pbc="T T T"
Li 0.000 0.000 0.000
Ni 2.342 2.105 1.234
W 0.434 2.105 3.868
W 1.239 0.000 2.429
```

M_tot: 0.0 μB/cell

Model c:
Compound: LiNiW2
Source: the Alexandria database
Functional: PBE
Structure: relaxed

```
4
Lattice="-1.543 2.101 4.337 1.543 -2.101 4.337 1.543 2.101 -4.337" Properties=species:S:1:pos:R:3 pbc="T T T"
Li 0.000 0.000 0.000
Ni 0.000 0.000 4.337
W 1.543 0.000 2.215
W 0.000 2.101 2.123
```

M_tot: 0.0 μB/cell

Model d:
Compound: LiNiW2
Source: the Alexandria database
Functional: PBE
Structure: relaxed

```
4
Lattice="1.594 -2.158 0.000 1.594 2.158 0.000 0.000 0.000 8.511" Properties=species:S:1:pos:R:3 pbc="T T T"
Li 0.000 0.000 0.000
Ni 1.594 0.000 1.972
W 0.000 0.000 3.899
W 1.594 0.000 6.160
```

M_tot: 0.0 μB/cell

Which of them is the least stable? Correct choice: model a.

Model a:
Compound: LiNiW2
Source: the Alexandria database
Functional: PBE
Structure: relaxed

```
4
Lattice="2.607 0.000 0.000 0.000 4.407 0.000 -0.877 0.000 4.923" Properties=species:S:1:pos:R:3 pbc="T T T"
Li 0.000 0.000 0.000
Ni 0.865 0.000 2.462
W -0.050 2.203 3.689
W 1.781 2.203 1.234
```

M_tot: 0.0 μB/cell

Model b:
Compound: LiNiW2
Source: the Alexandria database
Functional: PBE
Structure: relaxed

```
4
Lattice="3.267 0.000 0.000 0.000 3.267 0.000 0.000 0.000 5.154" Properties=species:S:1:pos:R:3 pbc="T T T"
Li 0.000 0.000 0.000
Ni 0.000 0.000 2.577
W 1.633 1.633 1.351
W 1.633 1.633 3.803
```

M_tot: 0.0 μB/cell

Which of them is the least stable? Correct choice: model b.

Model a:
Compound: LiNiW
Source: the Alexandria database
Functional: PBE
Structure: relaxed

```
3
Lattice="0.000 2.826 2.826 2.826 0.000 2.826 2.826 2.826 0.000" Properties=species:S:1:pos:R:3 pbc="T T T"
Li 0.000 0.000 0.000
Ni 2.826 2.826 2.826
W 1.413 1.413 1.413
```

M_tot: 0.0 μB/cell

Model b:
Compound: LiNiW
Source: the Alexandria database
Functional: PBE
Structure: relaxed

```
3
Lattice="4.144 0.000 0.000 -2.072 3.589 0.000 0.000 0.000 2.559" Properties=species:S:1:pos:R:3 pbc="T T T"
Li 0.000 0.000 0.000
Ni 2.072 1.196 0.343
W 0.000 2.393 1.418
```

M_tot: 0.0 μB/cell

Which of them is the least stable? Correct choice: model a.

Model a:
Compound: LiNiW
Source: the Alexandria database
Functional: PBE
Structure: relaxed

```
3
Lattice="-1.334 1.334 5.771 1.334 -1.334 5.771 1.334 1.334 -5.771" Properties=species:S:1:pos:R:3 pbc="T T T"
Li 0.000 0.000 0.000
Ni 0.000 0.000 7.519
W 0.000 0.000 3.511
```

M_tot: 0.0 μB/cell

Model b:
Compound: LiNiW
Source: the Alexandria database
Functional: PBE
Structure: relaxed

```
3
Lattice="-1.282 1.955 3.873 1.282 -1.955 3.873 1.282 1.955 -3.873" Properties=species:S:1:pos:R:3 pbc="T T T"
Li 0.000 0.000 0.000
Ni 0.000 0.000 5.141
W 0.000 0.000 2.497
```

M_tot: 0.0 μB/cell

Which of them is the least stable? Correct choice: model b.

Model a:
Compound: LiNiW
Source: the Alexandria database
Functional: PBE
Structure: relaxed

```
3
Lattice="0.000 2.795 2.795 2.795 0.000 2.795 2.795 2.795 0.000" Properties=species:S:1:pos:R:3 pbc="T T T"
Li 0.000 0.000 0.000
Ni 1.397 1.397 1.397
W 2.795 2.795 2.795
```

M_tot: 0.0 μB/cell

Model b:
Compound: LiNiW
Source: the Alexandria database
Functional: PBE
Structure: relaxed

```
3
Lattice="0.000 2.115 6.240 1.589 0.000 6.240 1.589 2.115 0.000" Properties=species:S:1:pos:R:3 pbc="T T T"
Li 0.000 0.000 0.000
Ni 1.589 2.115 4.266
W 1.589 2.115 8.599
```

M_tot: 0.0 μB/cell

Which of them is the least stable? Correct choice: model a.

Model a:
Compound: Li2Zn2Ni5
Source: the Alexandria database
Functional: PBE
Structure: relaxed

```
9
Lattice="5.929 -2.014 0.000 5.929 2.014 0.000 -1.792 0.000 4.376" Properties=species:S:1:pos:R:3 pbc="T T T"
Li 0.149 0.000 1.250
Li 9.917 0.000 3.126
Zn 2.850 0.000 4.131
Zn 7.216 0.000 0.245
Ni 0.506 0.000 3.609
Ni 2.588 0.000 1.699
Ni 5.033 0.000 2.188
Ni 7.478 0.000 2.677
Ni 9.560 0.000 0.766
```

M_tot: 0.0 μB/cell

Model b:
Compound: Li2Zn2Ni5
Source: the Alexandria database
Functional: PBE
Structure: relaxed

```
9
Lattice="5.771 -2.036 0.000 5.771 2.036 0.000 -1.081 0.000 4.820" Properties=species:S:1:pos:R:3 pbc="T T T"
Li 2.005 0.000 0.022
Li 8.456 0.000 4.798
Zn 3.898 0.000 3.851
Zn 6.563 0.000 0.969
Ni -0.541 0.000 2.410
Ni 1.794 0.000 2.546
Ni 4.168 0.000 1.495
Ni 6.293 0.000 3.325
Ni 8.667 0.000 2.274
```

M_tot: 0.0 μB/cell

Which of them is the least stable? Correct choice: model b.

Model a:
Compound: Li2ZnNi3
Source: the Alexandria database
Functional: PBE
Structure: relaxed

```
6
Lattice="2.389 1.379 3.990 -2.389 1.379 3.990 0.000 -2.759 3.990" Properties=species:S:1:pos:R:3 pbc="T T T"
Li 0.000 0.000 1.439
Li 0.000 0.000 10.530
Zn 0.000 0.000 5.984
Ni -1.195 -0.690 3.990
Ni -1.195 0.690 7.979
Ni 0.000 1.379 3.990
```

M_tot: 0.0 μB/cell

Model b:
Compound: Li2ZnNi3
Source: the Alexandria database
Functional: PBE
Structure: relaxed

```
12
Lattice="4.794 0.000 0.000 -2.397 4.152 0.000 0.000 0.000 7.902" Properties=species:S:1:pos:R:3 pbc="T T T"
Li 0.000 2.768 0.555
Li 0.000 2.768 3.396
Li 2.397 1.384 4.506
Li 2.397 1.384 7.348
Zn 0.000 0.000 0.000
Zn 0.000 0.000 3.951
Ni 0.000 1.412 5.927
Ni -1.174 3.446 5.927
Ni 1.223 0.706 1.976
Ni 1.174 3.446 5.927
Ni 3.571 0.706 1.976
Ni 2.397 2.740 1.976
```

M_tot: 0.0 μB/cell

Which of them is the least stable? Correct choice: model b.

Model a:
Compound: LiZn2Ni5
Source: the Alexandria database
Functional: PBE
Structure: relaxed

```
8
Lattice="-1.258 3.958 4.785 1.258 -3.958 4.785 1.258 3.958 -4.785" Properties=species:S:1:pos:R:3 pbc="T T T"
Li 0.000 0.000 0.000
Zn 1.258 0.000 2.327
Zn 0.000 3.958 2.458
Ni 1.258 2.155 -1.234
Ni 1.258 2.155 1.234
Ni 0.000 3.958 0.000
Ni 0.000 1.803 3.550
Ni 0.000 1.803 6.019
```

M_tot: 0.8 μB/cell

Model b:
Compound: LiZn2Ni5
Source: the Alexandria database
Functional: PBE
Structure: relaxed

```
16
Lattice="5.036 0.000 0.000 0.000 10.097 0.000 0.000 0.000 3.625" Properties=species:S:1:pos:R:3 pbc="T T T"
Li 0.000 0.000 0.000
Li 2.518 5.048 0.000
Zn 1.258 1.268 1.813
Zn 1.260 6.316 1.813
Zn 3.776 3.781 1.813
Zn 3.778 8.829 1.813
Ni 0.002 2.555 0.000
Ni 0.000 5.048 0.000
Ni 5.034 7.542 0.000
Ni 1.252 3.776 1.813
Ni 1.266 8.824 1.813
Ni 2.518 0.000 0.000
Ni 2.520 2.494 0.000
Ni 2.516 7.603 0.000
Ni 3.770 1.273 1.813
Ni 3.784 6.321 1.813
```

M_tot: 1.6 μB/cell

Which of them is the least stable? Correct choice: model a.

Model a:
Compound: LiZnNi
Source: the Alexandria database
Functional: PBE
Structure: relaxed

```
3
Lattice="4.086 0.000 0.000 -2.043 3.539 0.000 0.000 0.000 2.538" Properties=species:S:1:pos:R:3 pbc="T T T"
Li 0.000 0.000 0.000
Zn 0.000 2.359 1.676
Ni 2.043 1.180 0.677
```

M_tot: 0.0 μB/cell

Model b:
Compound: LiZnNi
Source: the Alexandria database
Functional: PBE
Structure: relaxed

```
3
Lattice="-1.299 1.866 3.843 1.299 -1.866 3.843 1.299 1.866 -3.843" Properties=species:S:1:pos:R:3 pbc="T T T"
Li 0.000 0.000 0.000
Zn 0.000 0.000 2.498
Ni 0.000 0.000 5.161
```

M_tot: 0.0 μB/cell

Model c:
Compound: LiZnNi
Source: the Alexandria database
Functional: PBE
Structure: relaxed

```
9
Lattice="7.080 0.000 0.000 -3.540 6.131 0.000 0.000 0.000 2.570" Properties=species:S:1:pos:R:3 pbc="T T T"
Li -2.451 4.246 0.000
Li 1.089 1.886 0.000
Li 4.902 0.000 0.000
Zn 0.000 0.000 1.285
Zn 0.000 4.087 0.000
Zn 3.540 2.044 0.000
Ni -1.269 2.199 1.285
Ni 2.539 0.000 1.285
Ni 2.270 3.933 1.285
```

M_tot: 0.0 μB/cell

Which of them is the least stable? Correct choice: model c.

Model a:
Compound: LiZnNi
Source: the Alexandria database
Functional: PBE
Structure: relaxed

```
3
Lattice="0.000 2.842 2.842 2.842 0.000 2.842 2.842 2.842 0.000" Properties=species:S:1:pos:R:3 pbc="T T T"
Li 0.000 0.000 0.000
Zn 2.842 2.842 2.842
Ni 1.421 1.421 1.421
```

M_tot: 0.0 μB/cell

Model b:
Compound: LiZnNi
Source: the Alexandria database
Functional: PBE
Structure: relaxed

```
3
Lattice="-1.406 1.406 4.835 1.406 -1.406 4.835 1.406 1.406 -4.835" Properties=species:S:1:pos:R:3 pbc="T T T"
Li 0.000 0.000 0.000
Zn 0.000 0.000 3.037
Ni 0.000 0.000 6.416
```

M_tot: 0.0 μB/cell

Model c:
Compound: LiZnNi
Source: the Alexandria database
Functional: PBE
Structure: relaxed

```
3
Lattice="2.618 0.000 0.000 -1.309 2.267 0.000 0.000 0.000 6.461" Properties=species:S:1:pos:R:3 pbc="T T T"
Li 0.000 0.000 0.000
Zn 0.000 1.512 4.107
Ni 1.309 0.756 2.046
```

M_tot: 0.2 μB/cell

Which of them is the least stable? Correct choice: model a.

Model a:
Compound: Li2Zn2Ni3
Source: the Alexandria database
Functional: PBE
Structure: relaxed

```
7
Lattice="2.613 0.000 0.000 -1.303 5.468 0.000 -0.034 -2.215 6.193" Properties=species:S:1:pos:R:3 pbc="T T T"
Li -0.016 0.289 2.711
Li 1.292 2.964 3.482
Zn -0.026 1.330 5.210
Zn 1.302 1.923 0.983
Ni 0.000 0.000 0.000
Ni -0.004 3.962 1.491
Ni 1.281 -0.709 4.702
```

M_tot: 0.0 μB/cell

Model b:
Compound: Li2Zn2Ni3
Source: the Alexandria database
Functional: PBE
Structure: relaxed

```
7
Lattice="6.414 -1.247 0.000 6.414 1.247 0.000 -2.964 0.000 5.461" Properties=species:S:1:pos:R:3 pbc="T T T"
Li 2.264 0.000 0.831
Li 7.599 0.000 4.630
Zn 4.745 0.000 1.462
Zn 5.118 0.000 3.999
Ni 0.000 0.000 0.000
Ni 2.779 0.000 3.194
Ni 7.084 0.000 2.267
```

M_tot: 0.0 μB/cell

Which of them is the least stable? Correct choice: model b.